Record 1
A plane-wave DFT calculation with GGA-PBEsol was carried out for CrIr3I after structural relaxation.

Summary:
* total moment: 0.00 Bohr magnetons per cell
* total energy: -6.7329 eV/atom
* DOS(E_F): 7.4 states/eV/cell

Unit cell a=4.5141 b=4.5141 c=4.5141 alpha=90.00 beta=90.00 gamma=90.00
Space group Pm-3m (No. 221)
Unique sites:
Cr 0.0000 0.0000 0.0000 (multiplicity 1)
Ir 0.0000 0.0000 0.5000 (multiplicity 3)
I 0.5000 0.5000 0.5000 (multiplicity 1)

Record 2
A plane-wave DFT calculation with GGA-PBEsol was carried out for Cr2IrI after structural relaxation.

Summary:
* total moment: 0.00 Bohr magnetons per cell
* total energy: -7.1956 eV/atom
* DOS(E_F): 13.9 states/eV/cell

Unit cell a=6.1208 b=6.1208 c=6.1208 alpha=90.00 beta=90.00 gamma=90.00
Space group Fm-3m (No. 225)
Unique sites:
Cr 0.2500 0.2500 0.2500 (multiplicity 8)
Ir 0.0000 0.0000 0.0000 (multiplicity 4)
I 0.0000 0.0000 0.5000 (multiplicity 4)

Record 3
A plane-wave DFT calculation with GGA-PBEsol was carried out for KCrMo2I after structural relaxation.

Summary:
* total moment: 0.14 Bohr magnetons per cell
* total energy: -5.3414 eV/atom
* DOS(E_F): 4.5 states/eV/cell

Unit cell a=5.0501 b=5.0501 c=5.0573 alpha=90.00 beta=90.00 gamma=90.00
Space group P4/mmm (No. 123)
Unique sites:
K 0.0000 0.0000 0.0000 (multiplicity 1)
Cr 0.5000 0.5000 0.0000 (multiplicity 1)
Mo 0.0000 0.5000 0.5000 (multiplicity 2)
I 0.5000 0.5000 0.5000 (multiplicity 1)

Record 4
A plane-wave DFT calculation with GGA-PBEsol was carried out for KCrIO6 after structural relaxation.

Summary:
* total moment: 0.00 Bohr magnetons per cell
* total energy: -6.2410 eV/atom
* DOS(E_F): 0.0 states/eV/cell

Unit cell a=9.2505 b=4.5790 c=13.9748 alpha=90.00 beta=107.73 gamma=90.00
Space group P2_1/c (No. 14)
Unique sites:
K 0.0983 0.1043 0.1617 (multiplicity 4)
Cr 0.2275 0.5210 0.9710 (multiplicity 4)
I 0.4351 0.6598 0.3341 (multiplicity 4)
O 0.1250 0.1101 0.3648 (multiplicity 4)
O 0.1251 0.7410 0.0124 (multiplicity 4)
O 0.2453 0.6011 0.2553 (multiplicity 4)
O 0.2954 0.2367 0.5528 (multiplicity 4)
O 0.3836 0.7160 0.9533 (multiplicity 4)
O 0.4565 0.0368 0.2915 (multiplicity 4)

Record 5
A plane-wave DFT calculation with GGA-PBEsol was carried out for KCrTeI2 after structural relaxation.

Summary:
* total moment: 2.99 Bohr magnetons per cell
* total energy: -4.1380 eV/atom
* DOS(E_F): 2.4 states/eV/cell

Unit cell a=5.6980 b=5.6980 c=5.1548 alpha=90.00 beta=90.00 gamma=90.00
Space group P4/mmm (No. 123)
Unique sites:
K 0.0000 0.0000 0.0000 (multiplicity 1)
Cr 0.5000 0.5000 0.5000 (multiplicity 1)
Te 0.5000 0.5000 0.0000 (multiplicity 1)
I 0.0000 0.5000 0.5000 (multiplicity 2)

Record 6
A plane-wave DFT calculation with GGA-PBEsol was carried out for La2Cr2I after structural relaxation.

Summary:
* total moment: 0.01 Bohr magnetons per cell
* total energy: -5.9895 eV/atom
* DOS(E_F): 13.3 states/eV/cell

Unit cell a=5.6668 b=5.6668 c=7.6132 alpha=90.00 beta=90.00 gamma=90.00
Space group I4/mmm (No. 139)
Unique sites:
La 0.0000 0.5000 0.2500 (multiplicity 4)
Cr 0.0000 0.0000 0.1260 (multiplicity 4)
I 0.0000 0.0000 0.5000 (multiplicity 2)

Record 7
A plane-wave DFT calculation with GGA-PBEsol was carried out for LaCrIO2 after structural relaxation.

Summary:
* total moment: 4.88 Bohr magnetons per cell
* total energy: -6.5166 eV/atom
* DOS(E_F): 1.9 states/eV/cell

Unit cell a=4.3120 b=4.3120 c=6.7187 alpha=90.00 beta=90.00 gamma=90.00
Space group P4/mmm (No. 123)
Unique sites:
La 0.0000 0.0000 0.0000 (multiplicity 1)
Cr 0.5000 0.5000 0.5000 (multiplicity 1)
I 0.0000 0.0000 0.5000 (multiplicity 1)
O 0.0000 0.5000 0.0000 (multiplicity 2)

Record 8
A plane-wave DFT calculation with GGA-PBEsol was carried out for LaCrTeI2 after structural relaxation.

Summary:
* total moment: 5.00 Bohr magnetons per cell
* total energy: -4.6128 eV/atom
* DOS(E_F): 7.7 states/eV/cell

Unit cell a=6.1025 b=6.1025 c=6.1667 alpha=90.00 beta=90.00 gamma=90.00
Space group P4/mmm (No. 123)
Unique sites:
La 0.0000 0.0000 0.0000 (multiplicity 1)
Cr 0.5000 0.5000 0.5000 (multiplicity 1)
Te 0.0000 0.0000 0.5000 (multiplicity 1)
I 0.0000 0.5000 0.0000 (multiplicity 2)

Record 9
A plane-wave DFT calculation with GGA-PBEsol was carried out for LiCrI3 after structural relaxation.

Summary:
* total moment: 4.00 Bohr magnetons per cell
* total energy: -3.8542 eV/atom
* DOS(E_F): 0.9 states/eV/cell

Unit cell a=5.5325 b=5.5325 c=5.5325 alpha=90.00 beta=90.00 gamma=90.00
Space group Pm-3m (No. 221)
Unique sites:
Li 0.0000 0.0000 0.0000 (multiplicity 1)
Cr 0.5000 0.5000 0.5000 (multiplicity 1)
I 0.0000 0.5000 0.5000 (multiplicity 3)

Record 10
A plane-wave DFT calculation with GGA-PBEsol was carried out for Mg2CrI after structural relaxation.

Summary:
* total moment: 18.21 Bohr magnetons per cell
* total energy: -3.3981 eV/atom
* DOS(E_F): 6.2 states/eV/cell

Unit cell a=8.1513 b=8.1513 c=6.0843 alpha=90.00 beta=90.00 gamma=90.00
Space group I-42d (No. 122)
Unique sites:
Mg 0.2412 0.7500 0.1250 (multiplicity 8)
Cr 0.0000 0.0000 0.0000 (multiplicity 4)
I 0.0000 0.0000 0.5000 (multiplicity 4)

Record 11
A plane-wave DFT calculation with GGA-PBEsol was carried out for MgCrTe2I after structural relaxation.

Summary:
* total moment: 3.01 Bohr magnetons per cell
* total energy: -4.0027 eV/atom
* DOS(E_F): 4.6 states/eV/cell

Unit cell a=5.2103 b=5.2103 c=5.4108 alpha=90.00 beta=90.00 gamma=90.00
Space group P4/mmm (No. 123)
Unique sites:
Mg 0.0000 0.0000 0.0000 (multiplicity 1)
Cr 0.5000 0.5000 0.5000 (multiplicity 1)
Te 0.0000 0.5000 0.5000 (multiplicity 2)
I 0.5000 0.5000 0.0000 (multiplicity 1)

Record 12
A plane-wave DFT calculation with GGA-PBEsol was carried out for Mn2CrI6 after structural relaxation.

Summary:
* total moment: 27.92 Bohr magnetons per cell
* total energy: -4.7598 eV/atom
* DOS(E_F): 7.7 states/eV/cell

Unit cell a=6.9902 b=4.0366 c=20.6210 alpha=90.00 beta=90.14 gamma=90.00
Space group C2/m (No. 12)
Unique sites:
Mn 0.1661 0.0000 0.1674 (multiplicity 4)
Cr 0.0000 0.5000 0.5000 (multiplicity 2)
I 0.0000 0.5000 0.2475 (multiplicity 4)
I 0.1660 0.0000 0.4233 (multiplicity 4)
I 0.1679 0.0000 0.9124 (multiplicity 4)

- Which of these has the highest DOS(E_F)?
  Cr2IrI

- Look up the total moment of the eighth one.
  5.00 Bohr magnetons per cell

- Among the records above, which one has the highest DOS(E_F)?
  Cr2IrI